{"formula": "CsDyCo2F8", "functional": "GGA+U", "state": "optimized geometry", "m_tot_mub_per_fu": 6.00, "spacegroup": "No. 2", "dos_ef_per_ev_cell": 0.000, "volume_a3_per_atom": 18.545, "total_energy_ev_per_atom": -5.3816, "lattice": [[4.9191, 0.0000, 0.0000], [-0.1815, 5.0649, 0.0000], [-0.5595, -0.6576, 8.9318]], "species": ["Cs", "Dy", "Co", "Co", "F", "F", "F", "F", "F", "F", "F", "F"], "fractional_positions": [[0.0000, 0.0000, 0.0000], [0.0000, 0.0000, 0.5000], [0.4971, 0.5369, 0.6844], [0.5029, 0.4631, 0.3156], [0.1603, 0.2392, 0.3320], [0.2188, 0.2417, 0.6835], [0.3369, 0.7132, 0.4899], [0.4403, 0.7078, 0.8697], [0.5597, 0.2922, 0.1303], [0.6631, 0.2868, 0.5101], [0.7812, 0.7583, 0.3165], [0.8397, 0.7608, 0.6680]]}